Entry from Alexandria via LeMat-Bulk: crystalline Tm6ScIn3 at its relaxed geometry (PBE).

CIF file:
```
data_Tm6ScIn3
_chemical_formula_sum 'Tm12 Sc2 In6'
_symmetry_space_group_name_H-M 'P 1 21/m 1'
_symmetry_Int_Tables_number 11
_symmetry_space_group_name_Hall '-P 2yb'
_cell_length_a 9.654
_cell_length_b 5.167
_cell_length_c 11.325
_cell_angle_alpha 90.00
_cell_angle_beta 105.43
_cell_angle_gamma 90.00
loop_
_atom_site_label
_atom_site_fract_x
_atom_site_fract_y
_atom_site_fract_z
Tm1 0.054 0.250 0.410
Tm2 0.158 0.750 0.183
Tm3 0.247 0.250 0.001
Tm4 0.325 0.750 0.797
Tm5 0.379 0.250 0.314
Tm6 0.392 0.250 0.614
Sc1 0.461 0.750 0.096
In1 0.036 0.750 0.891
In2 0.120 0.250 0.711
In3 0.281 0.750 0.471
```

Output
- DFT formation energy (eV per atom) = -0.2613
- V (Å³/cell) = 544.59
- DOS at the Fermi energy (states/eV/f.u.) = 8.53



Entry from Alexandria via LeMat-Bulk: crystalline CeSn2Rh2 at its relaxed geometry (PBE).

CIF file:
```
data_CeSn2Rh2
_chemical_formula_sum 'Ce2 Sn4 Rh4'
_symmetry_space_group_name_H-M 'P 1 21/m 1'
_symmetry_Int_Tables_number 11
_symmetry_space_group_name_Hall '-P 2yb'
_cell_length_a 4.669
_cell_length_b 4.742
_cell_length_c 10.000
_cell_angle_alpha 90.00
_cell_angle_beta 97.01
_cell_angle_gamma 90.00
loop_
_atom_site_label
_atom_site_fract_x
_atom_site_fract_y
_atom_site_fract_z
Ce1 0.218 0.250 0.247
Sn1 0.233 0.750 0.501
Sn2 0.326 0.250 0.889
Rh1 0.135 0.750 0.967
Rh2 0.302 0.250 0.629
```

Output
- DFT formation energy (eV per atom) = -0.6751
- V (Å³/cell) = 219.75
- DOS at the Fermi energy (states/eV/f.u.) = 4.99



Entry from Alexandria via LeMat-Bulk: crystalline Dy2TaAl2Os5 at its relaxed geometry (PBE).

CIF file:
```
data_Dy2TaAl2Os5
_chemical_formula_sum 'Dy4 Ta2 Al4 Os10'
_symmetry_space_group_name_H-M 'P 4/m b m'
_symmetry_Int_Tables_number 127
_symmetry_space_group_name_Hall '-P 4 2ab'
_cell_length_a 10.120
_cell_length_b 10.120
_cell_length_c 3.330
_cell_angle_alpha 90.00
_cell_angle_beta 90.00
_cell_angle_gamma 90.00
loop_
_atom_site_label
_atom_site_fract_x
_atom_site_fract_y
_atom_site_fract_z
Dy1 0.172 0.328 0.000
Ta1 0.000 0.000 0.000
Al1 0.127 0.627 0.000
Os1 0.000 0.500 0.500
Os2 0.065 0.801 0.500
```

Output
- DFT formation energy (eV per atom) = -0.2608
- V (Å³/cell) = 341.07
- DOS at the Fermi energy (states/eV/f.u.) = 6.87



Entry from Alexandria via LeMat-Bulk: crystalline HfTiRe3 at its relaxed geometry (PBE).

CIF file:
```
data_HfTiRe3
_chemical_formula_sum 'Hf1 Ti1 Re3'
_symmetry_space_group_name_H-M 'P m -3 m'
_symmetry_Int_Tables_number 221
_symmetry_space_group_name_Hall '-P 4 2 3'
_cell_length_a 4.543
_cell_length_b 4.543
_cell_length_c 4.543
_cell_angle_alpha 90.00
_cell_angle_beta 90.00
_cell_angle_gamma 90.00
loop_
_atom_site_label
_atom_site_fract_x
_atom_site_fract_y
_atom_site_fract_z
Hf1 0.000 0.000 0.000
Ti1 0.500 0.500 0.500
Re1 0.000 0.500 0.500
```

Output
- DFT formation energy (eV per atom) = 1.2695
- V (Å³/cell) = 93.75
- DOS at the Fermi energy (states/eV/f.u.) = 6.90



Entry from Alexandria via LeMat-Bulk: crystalline SrTe2Au at its relaxed geometry (PBE).

CIF file:
```
data_SrTe2Au
_chemical_formula_sum 'Sr1 Te2 Au1'
_symmetry_space_group_name_H-M 'P 1 2/m 1'
_symmetry_Int_Tables_number 10
_symmetry_space_group_name_Hall '-P 2y'
_cell_length_a 4.495
_cell_length_b 4.105
_cell_length_c 7.299
_cell_angle_alpha 90.00
_cell_angle_beta 94.58
_cell_angle_gamma 90.00
loop_
_atom_site_label
_atom_site_fract_x
_atom_site_fract_y
_atom_site_fract_z
Sr1 0.000 0.000 0.000
Te1 0.483 0.500 0.758
Au1 0.500 0.000 0.500
```

Output
- VASP energy (eV/atom) = -3.55
- V (Å³/cell) = 134.26
- DOS at the Fermi energy (states/eV/f.u.) = 1.59



Entry from Alexandria via LeMat-Bulk: crystalline KZr2NbN at its relaxed geometry (PBE).

CIF file:
```
data_KZr2NbN
_chemical_formula_sum 'K1 Zr2 Nb1 N1'
_symmetry_space_group_name_H-M 'P 4/m m m'
_symmetry_Int_Tables_number 123
_symmetry_space_group_name_Hall '-P 4 2'
_cell_length_a 5.085
_cell_length_b 5.085
_cell_length_c 4.021
_cell_angle_alpha 90.00
_cell_angle_beta 90.00
_cell_angle_gamma 90.00
loop_
_atom_site_label
_atom_site_fract_x
_atom_site_fract_y
_atom_site_fract_z
K1 0.000 0.000 0.000
Zr1 0.000 0.500 0.000
Nb1 0.500 0.500 0.500
N1 0.000 0.000 0.500
```

Output
- VASP energy (eV/atom) = -5.00
- V (Å³/cell) = 103.97
- DOS at the Fermi energy (states/eV/f.u.) = 5.67